1.
# Sm12DySc2 (PBE, optimized geometry)
data_Sm12DySc2
_chemical_formula_sum 'Sm24 Dy2 Sc4'
_cell_length_a 6.079
_cell_length_b 6.079
_cell_length_c 30.816
_cell_angle_alpha 75.81
_cell_angle_beta 75.81
_cell_angle_gamma 106.83
_space_group_name_H-M_alt 'P 1'
_space_group_IT_number 1
loop_
_space_group_symop_operation_xyz
'x,y,z'
loop_
_atom_site_label
_atom_site_fract_x
_atom_site_fract_y
_atom_site_fract_z
_atom_site_occupancy
Sm1 0.347 0.347 0.804 1
Sm2 0.847 0.847 0.804 1
Sm3 0.615 0.615 0.935 1
Sm4 0.231 0.731 0.869 1
Sm5 0.939 0.939 0.319 1
Sm6 0.269 0.769 0.131 1
Sm7 0.669 0.169 0.619 1
Sm8 0.439 0.439 0.319 1
Sm9 0.115 0.115 0.935 1
Sm10 0.885 0.885 0.065 1
Sm11 0.285 0.285 0.552 1
Sm12 0.831 0.331 0.381 1
Sm13 0.061 0.061 0.681 1
Sm14 0.215 0.215 0.448 1
Sm15 0.385 0.385 0.065 1
Sm16 0.715 0.715 0.448 1
Sm17 0.785 0.785 0.552 1
Sm18 0.153 0.153 0.196 1
Sm19 0.169 0.669 0.619 1
Sm20 0.561 0.561 0.681 1
Sm21 0.731 0.231 0.869 1
Sm22 0.653 0.653 0.196 1
Sm23 0.331 0.831 0.381 1
Sm24 0.769 0.269 0.131 1
Dy1 0.500 0.000 0.000 1
Dy2 0.000 0.500 0.000 1
Sc1 0.546 0.046 0.258 1
Sc2 0.046 0.546 0.258 1
Sc3 0.954 0.454 0.742 1
Sc4 0.454 0.954 0.742 1
# - Calculated volume: 33.121 A^3/atom
# - Crystal system: monoclinic
# - Space group: P2/m
# - M_tot: 0.0 μB/cell
# - Formation energy from the elements: 0.11 eV/atom


2.
# LiB2C2 (PBE, optimized geometry)
data_LiB2C2
_chemical_formula_sum 'Li4 B8 C8'
_cell_length_a 4.696
_cell_length_b 5.394
_cell_length_c 7.334
_cell_angle_alpha 90.00
_cell_angle_beta 90.00
_cell_angle_gamma 90.00
_space_group_name_H-M_alt 'P 1'
_space_group_IT_number 1
loop_
_space_group_symop_operation_xyz
'x,y,z'
loop_
_atom_site_label
_atom_site_fract_x
_atom_site_fract_y
_atom_site_fract_z
_atom_site_occupancy
C1 0.163 0.250 0.750 1
C2 0.837 0.250 0.250 1
C3 0.667 0.501 0.743 1
C4 0.333 0.501 0.257 1
C5 0.170 0.750 0.750 1
C6 0.830 0.750 0.250 1
C7 0.667 0.999 0.757 1
C8 0.333 0.999 0.243 1
B1 0.171 0.250 0.250 1
B2 0.829 0.250 0.750 1
B3 0.667 0.497 0.253 1
B4 0.333 0.497 0.747 1
B5 0.166 0.750 0.250 1
B6 0.834 0.750 0.750 1
B7 0.667 0.003 0.247 1
B8 0.333 0.003 0.753 1
Li1 0.000 0.017 0.000 1
Li2 0.000 0.483 0.500 1
Li3 0.500 0.723 0.000 1
Li4 0.500 0.777 0.500 1
# - Calculated volume: 9.287 A^3/atom
# - Crystal system: orthorhombic
# - Space group: P222_1
# - M_tot: 0.0 μB/cell
# - Formation energy from the elements: -0.03 eV/atom


3.
# La2Tb5PrSc (PBE, optimized geometry)
data_La2Tb5PrSc
_chemical_formula_sum 'La4 Tb10 Pr2 Sc2'
_cell_length_a 5.645
_cell_length_b 10.371
_cell_length_c 10.554
_cell_angle_alpha 90.00
_cell_angle_beta 90.00
_cell_angle_gamma 105.79
_space_group_name_H-M_alt 'P 1'
_space_group_IT_number 1
loop_
_space_group_symop_operation_xyz
'x,y,z'
loop_
_atom_site_label
_atom_site_fract_x
_atom_site_fract_y
_atom_site_fract_z
_atom_site_occupancy
La1 0.885 0.770 0.813 1
La2 0.116 0.232 0.733 1
La3 0.115 0.230 0.313 1
La4 0.884 0.768 0.233 1
Tb1 0.375 0.749 0.018 1
Tb2 0.723 0.447 0.821 1
Tb3 0.484 0.968 0.742 1
Tb4 0.294 0.589 0.704 1
Tb5 0.985 0.970 0.518 1
Tb6 0.625 0.251 0.518 1
Tb7 0.277 0.553 0.321 1
Tb8 0.516 0.032 0.242 1
Tb9 0.706 0.411 0.204 1
Tb10 0.015 0.030 0.018 1
Pr1 0.589 0.178 0.963 1
Pr2 0.411 0.822 0.463 1
Sc1 0.801 0.602 0.513 1
Sc2 0.199 0.398 0.013 1
# - Calculated volume: 33.030 A^3/atom
# - Crystal system: orthorhombic
# - Space group: Cmc2_1
# - M_tot: 0.0 μB/cell
# - Formation energy from the elements: 0.15 eV/atom


4.
# Np3Ga12Ag (PBE, optimized geometry)
data_Np3Ga12Ag
_chemical_formula_sum 'Np3 Ga12 Ag1'
_cell_length_a 4.232
_cell_length_b 4.232
_cell_length_c 16.815
_cell_angle_alpha 90.00
_cell_angle_beta 90.00
_cell_angle_gamma 90.00
_space_group_name_H-M_alt 'P 1'
_space_group_IT_number 1
loop_
_space_group_symop_operation_xyz
'x,y,z'
loop_
_atom_site_label
_atom_site_fract_x
_atom_site_fract_y
_atom_site_fract_z
_atom_site_occupancy
Np1 0.000 0.000 0.246 1
Np2 0.000 0.000 0.500 1
Np3 0.000 0.000 0.754 1
Ga1 0.500 0.500 0.000 1
Ga2 0.500 0.500 0.256 1
Ga3 0.500 0.500 0.500 1
Ga4 0.500 0.500 0.744 1
Ga5 0.500 0.000 0.118 1
Ga6 0.500 0.000 0.375 1
Ga7 0.500 0.000 0.625 1
Ga8 0.500 0.000 0.882 1
Ga9 0.000 0.500 0.118 1
Ga10 0.000 0.500 0.375 1
Ga11 0.000 0.500 0.625 1
Ga12 0.000 0.500 0.882 1
Ag1 0.000 0.000 0.000 1
# - Calculated volume: 18.822 A^3/atom
# - Crystal system: tetragonal
# - Space group: P4/mmm
# - M_tot: 8.1 μB/cell
# - Formation energy from the elements: -0.08 eV/atom


What did the fourth record say?
# Np3Ga12Ag (PBE, optimized geometry)
data_Np3Ga12Ag
_chemical_formula_sum 'Np3 Ga12 Ag1'
_cell_length_a 4.232
_cell_length_b 4.232
_cell_length_c 16.815
_cell_angle_alpha 90.00
_cell_angle_beta 90.00
_cell_angle_gamma 90.00
_space_group_name_H-M_alt 'P 1'
_space_group_IT_number 1
loop_
_space_group_symop_operation_xyz
'x,y,z'
loop_
_atom_site_label
_atom_site_fract_x
_atom_site_fract_y
_atom_site_fract_z
_atom_site_occupancy
Np1 0.000 0.000 0.246 1
Np2 0.000 0.000 0.500 1
Np3 0.000 0.000 0.754 1
Ga1 0.500 0.500 0.000 1
Ga2 0.500 0.500 0.256 1
Ga3 0.500 0.500 0.500 1
Ga4 0.500 0.500 0.744 1
Ga5 0.500 0.000 0.118 1
Ga6 0.500 0.000 0.375 1
Ga7 0.500 0.000 0.625 1
Ga8 0.500 0.000 0.882 1
Ga9 0.000 0.500 0.118 1
Ga10 0.000 0.500 0.375 1
Ga11 0.000 0.500 0.625 1
Ga12 0.000 0.500 0.882 1
Ag1 0.000 0.000 0.000 1
# - Calculated volume: 18.822 A^3/atom
# - Crystal system: tetragonal
# - Space group: P4/mmm
# - M_tot: 8.1 μB/cell
# - Formation energy from the elements: -0.08 eV/atom